No. 1
TbPu2Tl3S6 | the Alexandria database | PBE | relaxed; DOS(E_F) = 17.65 states/eV/f.u.; E_tot = -6.726 eV per atom; magnetic moment = 10.0 μB per formula unit
1.0
3.528 -6.110 0.000
3.528 6.110 0.000
-2.349 0.000 7.480
Tb Pu Tl S
1 2 3 6
direct
0.000 0.000 0.000
0.333 0.667 0.000
0.667 0.333 0.000
0.167 0.833 0.500
0.500 0.500 0.500
0.833 0.167 0.500
0.065 0.400 0.197
0.269 0.269 0.803
0.400 0.065 0.197
0.600 0.935 0.803
0.731 0.731 0.197
0.935 0.600 0.803


No. 2
TbDyIn | the Alexandria database | PBE | relaxed; relative energy among the computed polymorphs = 0.13 eV/f.u.; DOS(E_F) = 3.98 states/eV/f.u.; magnetic moment = 0.5 μB per formula unit; formation energy from the elements = -0.27 eV per atom
1.0
4.628 0.000 0.000
0.000 4.628 0.000
0.000 0.000 8.336
Tb Dy In
2 2 2
direct
0.250 0.250 0.148
0.750 0.750 0.852
0.250 0.750 0.500
0.750 0.250 0.500
0.250 0.250 0.771
0.750 0.750 0.229


No. 3
ZnCd2Os | the Alexandria database | PBE | relaxed; DOS(E_F) = 3.19 states/eV/f.u.; magnetic moment = 0.0 μB per formula unit; formation energy from the elements = 0.54 eV per atom
1.0
3.499 0.000 0.000
0.000 3.499 0.000
0.000 0.000 5.760
Zn Cd Os
1 2 1
direct
0.000 0.000 0.000
0.500 0.500 0.255
0.500 0.500 0.745
0.000 0.000 0.500